This record from Alexandria describes a relaxed structure of K2BeSb. The functional is PBE-GGA.

The structure in CIF format:
```
data_K2BeSb
_cell_length_a 5.471
_cell_length_b 4.299
_cell_length_c 6.720
_cell_angle_alpha 90.00
_cell_angle_beta 114.00
_cell_angle_gamma 90.00
_space_group_name_H-M_alt 'P 1 m 1'
_space_group_IT_number 6
_space_group_name_Hall 'P -2y'
loop_
_atom_site_label
_atom_site_fract_x
_atom_site_fract_y
_atom_site_fract_z
_atom_site_occupancy
K1 0.000 0.000 0.000 1
K2 0.297 0.500 0.595 1
Be1 0.609 0.500 0.224 1
Sb1 0.696 0.000 0.393 1
```

## Properties
- N(E_F): 0.47 states/eV per atom
- Uncorrected formation energy: -0.1 eV per formula unit

This record from Alexandria describes a relaxed structure of Y6BiSb3As2. The functional is PBE-GGA.

The structure in CIF format:
```
data_Y6BiSb3As2
_cell_length_a 18.805
_cell_length_b 4.303
_cell_length_c 8.661
_cell_angle_alpha 90.00
_cell_angle_beta 103.19
_cell_angle_gamma 90.00
_space_group_name_H-M_alt 'C 1 2/m 1'
_space_group_IT_number 12
_space_group_name_Hall '-C 2y'
loop_
_atom_site_label
_atom_site_fract_x
_atom_site_fract_y
_atom_site_fract_z
_atom_site_occupancy
Y1 0.007 0.000 0.259 1
Y2 0.171 0.500 0.098 1
Y3 0.171 0.500 0.574 1
Bi1 0.000 0.500 0.000 1
Sb1 0.000 0.500 0.500 1
Sb2 0.163 0.000 0.832 1
As1 0.169 0.000 0.336 1
```

## Properties
- N(E_F): 0.15 states/eV per atom
- Uncorrected formation energy: -14.7 eV per formula unit

This record from Alexandria describes a relaxed structure of CaGaIrPt2. The functional is PBE-GGA.

The structure in CIF format:
```
data_CaGaIrPt2
_cell_length_a 4.931
_cell_length_b 4.931
_cell_length_c 5.185
_cell_angle_alpha 90.00
_cell_angle_beta 90.00
_cell_angle_gamma 90.00
_space_group_name_H-M_alt 'P 4/m m m'
_space_group_IT_number 123
_space_group_name_Hall '-P 4 2'
loop_
_atom_site_label
_atom_site_fract_x
_atom_site_fract_y
_atom_site_fract_z
_atom_site_occupancy
Ca1 0.000 0.000 0.000 1
Ga1 0.500 0.500 0.000 1
Ir1 0.000 0.000 0.500 1
Pt1 0.000 0.500 0.500 1
```

## Properties
- N(E_F): 1.00 states/eV per atom
- ΔE_f: 468 meV/atom

Please write out number 2 again, unchanged.
This record from Alexandria describes a relaxed structure of Y6BiSb3As2. The functional is PBE-GGA.

The structure in CIF format:
```
data_Y6BiSb3As2
_cell_length_a 18.805
_cell_length_b 4.303
_cell_length_c 8.661
_cell_angle_alpha 90.00
_cell_angle_beta 103.19
_cell_angle_gamma 90.00
_space_group_name_H-M_alt 'C 1 2/m 1'
_space_group_IT_number 12
_space_group_name_Hall '-C 2y'
loop_
_atom_site_label
_atom_site_fract_x
_atom_site_fract_y
_atom_site_fract_z
_atom_site_occupancy
Y1 0.007 0.000 0.259 1
Y2 0.171 0.500 0.098 1
Y3 0.171 0.500 0.574 1
Bi1 0.000 0.500 0.000 1
Sb1 0.000 0.500 0.500 1
Sb2 0.163 0.000 0.832 1
As1 0.169 0.000 0.336 1
```

## Properties
- N(E_F): 0.15 states/eV per atom
- Uncorrected formation energy: -14.7 eV per formula unit

Q: Which of these has the highest N(E_F)?
A: CaGaIrPt2